Entry 1:
Density functional theory data (PBE) for an optimized crystal structure of YNi2As.

Its volume is 19.13 Å³/atom. Its formation energy is -0.431 eV per atom. Its total magnetization is 0.00 Bohr magnetons per cell. As for the crystal system: tetragonal.

The structure belongs to space group I-42d (No. 122); the cell edges are 4.4130, 4.4130 and 15.7185 Å and the angles 90.00°, 90.00° and 90.00°. The asymmetric unit holds Y at (0.0000, 0.0000, 0.0000), Ni at (0.0794, 0.2500, 0.6250) and As at (0.0000, 0.0000, 0.5000).

Entry 2:
Density functional theory data (PBE) for an optimized crystal structure of YNiAs2.

Its volume is 19.07 Å³/atom. Its formation energy is -0.648 eV per atom. Its total magnetization is 0.00 Bohr magnetons per cell. As for the crystal system: trigonal.

The structure belongs to space group R3m (No. 160, hexagonal axes); the cell edges are 3.8597, 3.8597 and 17.7391 Å and the angles 90.00°, 90.00° and 120.00°. The asymmetric unit holds Y at (0.0000, 0.0000, 0.0000), Ni at (0.0000, 0.0000, 0.8198), As at (0.0000, 0.0000, 0.2225) and As at (0.0000, 0.0000, 0.4336).

Entry 3:
Density functional theory data (PBE) for an optimized crystal structure of YNi2As.

Its volume is 16.51 Å³/atom. Its formation energy is -0.324 eV per atom. Its total magnetization is 0.00 Bohr magnetons per cell. As for the crystal system: tetragonal.

The structure belongs to space group P4mm (No. 99); the cell edges are 3.2538, 3.2538 and 6.2373 Å and the angles 90.00°, 90.00° and 90.00°. The asymmetric unit holds Y at (0.0000, 0.0000, 0.0000), Ni at (0.0000, 0.0000, 0.5145), Ni at (0.5000, 0.5000, 0.7334) and As at (0.5000, 0.5000, 0.3599).

Entry 4:
Density functional theory data (PBE) for an optimized crystal structure of YNiAs.

Its volume is 18.49 Å³/atom. Its formation energy is -0.466 eV per atom. Its total magnetization is 0.00 Bohr magnetons per cell. As for the crystal system: orthorhombic.

The structure belongs to space group Fmm2 (No. 42); the cell edges are 4.5150, 4.9034 and 10.0221 Å and the angles 90.00°, 90.00° and 90.00°. The asymmetric unit holds Y at (0.0000, 0.0000, 0.0000), Ni at (0.0000, 0.0000, 0.3094) and As at (0.0000, 0.0000, 0.7078).

Entry 5:
Density functional theory data (PBE) for an optimized crystal structure of YNi12As6.

Its volume is 13.98 Å³/atom. Its formation energy is -0.235 eV per atom. Its total magnetization is 0.00 Bohr magnetons per cell. As for the crystal system: trigonal.

The structure belongs to space group R-3m (No. 166, hexagonal axes); the cell edges are 10.6818, 10.6818 and 8.0643 Å and the angles 90.00°, 90.00° and 120.00°. The asymmetric unit holds Y at (0.0000, 0.0000, 0.0000), Ni at (0.0000, 0.3783, 0.5000), Ni at (0.0839, 0.1679, 0.3384) and As at (0.0378, 0.5189, 0.2672).

Entry 6:
Density functional theory data (PBE) for an optimized crystal structure of YNiAs2.

Its volume is 21.38 Å³/atom. Its formation energy is -0.548 eV per atom. Its total magnetization is 0.00 Bohr magnetons per cell. As for the crystal system: monoclinic.

The structure belongs to space group Pm (No. 6); the cell edges are 3.9682, 4.1980 and 5.2931 Å and the angles 90.00°, 104.05° and 90.00°. The asymmetric unit holds Y at (0.0000, 0.0000, 0.0000), Ni at (0.4145, 0.5000, 0.6968), As at (0.3505, 0.0000, 0.5464) and As at (0.5465, 0.5000, 0.1477).

Entry 7:
Density functional theory data (PBE) for an optimized crystal structure of YNi4As2.

Its volume is 14.24 Å³/atom. Its formation energy is -0.633 eV per atom. Its total magnetization is 0.00 Bohr magnetons per cell. As for the crystal system: tetragonal. The value obtained for the offset from the most stable computed form is 0 meV/atom.

The structure belongs to space group P4_2/mnm (No. 136); the cell edges are 7.2599, 7.2599 and 3.7821 Å and the angles 90.00°, 90.00° and 90.00°. The asymmetric unit holds Y at (0.0000, 0.0000, 0.0000), Ni at (0.0883, 0.3465, 0.5000) and As at (0.2185, 0.7815, 0.5000).

Entry 8:
Density functional theory data (PBE) for an optimized crystal structure of YbNiAs.

Its volume is 19.00 Å³/atom. Its formation energy is -0.905 eV per atom. Its total magnetization is 0.00 Bohr magnetons per cell. As for the crystal system: hexagonal.

The structure belongs to space group P6_3/mmc (No. 194); the cell edges are 4.0138, 4.0138 and 8.1690 Å and the angles 90.00°, 90.00° and 120.00°. The asymmetric unit holds Yb at (0.0000, 0.0000, 0.0000), Ni at (0.3333, 0.6667, 0.2500) and As at (0.3333, 0.6667, 0.7500).

Entry 9:
Density functional theory data (PBE) for an optimized crystal structure of YbNiAs.

Its volume is 18.97 Å³/atom. Its formation energy is -0.908 eV per atom. Its total magnetization is 0.00 Bohr magnetons per cell. As for the crystal system: hexagonal.

The structure belongs to space group P6_3/mmc (No. 194); the cell edges are 4.0166, 4.0166 and 16.2941 Å and the angles 90.00°, 90.00° and 120.00°. The asymmetric unit holds Yb at (0.0000, 0.0000, 0.0000), Yb at (0.0000, 0.0000, 0.2500), Ni at (0.3333, 0.6667, 0.1251) and As at (0.3333, 0.6667, 0.6249).

Entry 10:
Density functional theory data (PBE) for an optimized crystal structure of Yb2Ni12As7.

Its volume is 13.91 Å³/atom. Its formation energy is -0.506 eV per atom. Its total magnetization is 0.16 Bohr magnetons per cell. As for the crystal system: hexagonal.

The structure belongs to space group P-6 (No. 174); the cell edges are 9.4192, 9.4192 and 3.8019 Å and the angles 90.00°, 90.00° and 120.00°. The asymmetric unit holds Yb at (0.0000, 0.0000, 0.0000), Yb at (0.3333, 0.6667, 0.5000), Ni at (0.0435, 0.7574, 0.5000), Ni at (0.1024, 0.3875, 0.0000), Ni at (0.3878, 0.2077, 0.0000), Ni at (0.5497, 0.1227, 0.5000), As at (0.0731, 0.6207, 0.0000), As at (0.2581, 0.0361, 0.5000) and As at (0.6667, 0.3333, 0.0000).

Entry 11:
Density functional theory data (PBE) for an optimized crystal structure of ZnNiAs2.

Its volume is 16.76 Å³/atom. Its formation energy is 0.024 eV per atom. Its total magnetization is 0.00 Bohr magnetons per cell. As for the crystal system: orthorhombic.

The structure belongs to space group Imm2 (No. 44); the cell edges are 2.8531, 3.7301 and 12.5981 Å and the angles 90.00°, 90.00° and 90.00°. The asymmetric unit holds Zn at (0.0000, 0.0000, 0.0000), Ni at (0.0000, 0.5000, 0.2706), As at (0.0000, 0.0000, 0.6144) and As at (0.0000, 0.5000, 0.8417).

Entry 12:
Density functional theory data (PBE) for an optimized crystal structure of Zn4Ni15As.

Its volume is 11.48 Å³/atom. Its formation energy is -0.126 eV per atom. Its total magnetization is 5.15 Bohr magnetons per cell. As for the crystal system: tetragonal.

The structure belongs to space group P4/mmm (No. 123); the cell edges are 3.5745, 3.5745 and 17.9662 Å and the angles 90.00°, 90.00° and 90.00°. The asymmetric unit holds Zn at (0.0000, 0.0000, 0.1000), Zn at (0.0000, 0.0000, 0.2991), Ni at (0.0000, 0.5000, 0.0000), Ni at (0.0000, 0.5000, 0.1997), Ni at (0.0000, 0.5000, 0.4005), Ni at (0.5000, 0.5000, 0.1000), Ni at (0.5000, 0.5000, 0.3006), Ni at (0.5000, 0.5000, 0.5000) and As at (0.0000, 0.0000, 0.5000).